1.
Pr4CuS7 | PBE-GGA | relaxed

Summary:
Uncorrected energy   -5.901 eV/atom

a b c (Å): 10.2607 6.0201 10.2674
angles (deg): 90.00 119.97 90.00
Last column: nearest neighbours and their distance in Å.
Space group P2_1 (No. 4)
Asymmetric unit:
Pr (0.1422, 0.0000, 0.3485) (multiplicity 2)  7 S 2.83-3.14
Pr (0.1673, 0.9442, 0.8339) (multiplicity 2)  4 S 2.71-2.80
Pr (0.2940, 0.4995, 0.1424) (multiplicity 2)  7 S 2.83-3.15
Pr (0.3480, 0.4997, 0.7056) (multiplicity 2)  7 S 2.83-3.13
Cu (0.5000, 0.0244, 0.5000) (multiplicity 2)  3 S 2.29
S (0.0076, 0.7546, 0.9601) (multiplicity 2)  3 Pr 2.79-3.10
S (0.0407, 0.7551, 0.5483) (multiplicity 2)  3 Pr 2.79-3.10
S (0.1666, 0.3939, 0.8334) (multiplicity 2)  4 Pr 2.71-2.83
S (0.2431, 0.5197, 0.3885) (multiplicity 2)  1 Cu 2.29
S (0.3546, 0.0196, 0.2432) (multiplicity 2)  1 Cu 2.29
S (0.3886, 0.0198, 0.6454) (multiplicity 2)  1 Cu 2.29
S (0.4539, 0.7541, 0.9926) (multiplicity 2)  3 Pr 2.80-3.10

2.
KPrFeTe3 | PBE-GGA | relaxed

Summary:
Excess energy over the best structure of this formula in the dataset   0.011 eV per atom

a b c (Å): 4.4707 15.8620 11.8844
angles (deg): 90.00 90.00 90.00
Last column: nearest neighbours and their distance in Å.
Space group Cmcm (No. 63)
Asymmetric unit:
K (0.0000, 0.2478, 0.2500) (multiplicity 4)  6 Te 3.61
Pr (0.0000, 0.5000, 0.0000) (multiplicity 4)  6 Te 3.17-3.18
Fe (0.0000, 0.0301, 0.7500) (multiplicity 4)  4 Te 2.63-2.74
Te (0.0000, 0.1312, 0.5748) (multiplicity 8)  1 Fe 2.63
Te (0.0000, 0.4306, 0.7500) (multiplicity 4)  2 Fe 2.74

3.
Er8Te | PBE-GGA | relaxed

Summary:
Uncorrected energy   -4.685 eV/atom

a b c (Å): 9.1217 9.1217 3.7363
angles (deg): 90.00 90.00 120.00
Last column: nearest neighbours and their distance in Å.
Space group P-62m (No. 189)
Asymmetric unit:
Er (0.0000, 0.2753, 0.0000) (multiplicity 3)  2 Te 3.13, 2 Er 3.34
Er (0.0000, 0.6154, 0.5000) (multiplicity 3)  12 Er 3.40-3.74, 1 Te 3.51
Er (0.3333, 0.6667, 0.0000) (multiplicity 2)  11 Er 3.34-3.74
Te (0.0000, 0.0000, 0.5000) (multiplicity 1)  6 Er 3.13

4.
LaDyCN2O2 | PBE-GGA | relaxed

Summary:
Uncorrected energy   -8.616 eV/atom

a b c (Å): 3.8380 3.8380 8.2602
angles (deg): 90.00 90.00 120.00
Last column: nearest neighbours and their distance in Å.
Space group P3m1 (No. 156)
Asymmetric unit:
La (0.0000, 0.0000, 0.0000) (multiplicity 1)  4 O 2.33-2.43
Dy (0.6667, 0.3333, 0.6398) (multiplicity 1)  4 O 2.24-2.28
C (0.3333, 0.6667, 0.3261) (multiplicity 1)  2 N 1.23-1.24
N (0.3333, 0.6667, 0.1764) (multiplicity 1)  1 C 1.24
N (0.3333, 0.6667, 0.4756) (multiplicity 1)  1 C 1.23
O (0.0000, 0.0000, 0.7060) (multiplicity 1)  3 Dy 2.28, 1 La 2.43
O (0.6667, 0.3333, 0.9116) (multiplicity 1)  1 Dy 2.24, 3 La 2.33

5.
BaSrCu2 | PBE-GGA | relaxed

Summary:
Excess energy over the best structure of this formula in the dataset   0.005 eV per atom

a b c (Å): 4.3736 4.3736 15.5957
angles (deg): 90.00 90.00 120.00
Last column: nearest neighbours and their distance in Å.
Space group P-3m1 (No. 164)
Asymmetric unit:
Ba (0.3333, 0.6667, 0.3829) (multiplicity 2)  6 Cu 3.30-3.31
Sr (0.3333, 0.6667, 0.1199) (multiplicity 2)  6 Cu 3.20
Cu (0.0000, 0.0000, 0.2462) (multiplicity 2)  3 Cu 2.53
Cu (0.3333, 0.6667, 0.7538) (multiplicity 2)  3 Cu 2.53

6.
DySb6C | PBE-GGA | relaxed

Summary:
Uncorrected energy   -4.412 eV/atom

a b c (Å): 6.2863 6.2927 7.4181
angles (deg): 64.97 65.09 60.05
Last column: nearest neighbours and their distance in Å.
Space group P-1 (No. 2)
Asymmetric unit:
Dy (0.0000, 0.0000, 0.0000) (multiplicity 1)  12 Sb 3.46-3.55
Sb (0.0837, 0.5720, 0.7586) (multiplicity 2)  1 C 2.46
Sb (0.4140, 0.9162, 0.2404) (multiplicity 2)  1 C 2.46
Sb (0.4280, 0.4135, 0.2412) (multiplicity 2)  1 C 2.46
C (0.5000, 0.5000, 0.5000) (multiplicity 1)  6 Sb 2.46